Record 1
{"formula": "ErTm2In3", "functional": "PBE", "state": "relaxed", "space_group": "P4/mmm (123)", "energy_ev_per_atom": -4.05, "e_form_ev_per_atom": -0.433, "lattice": [[3.517, 0.000, 0.000], [0.000, 3.517, 0.000], [0.000, 0.000, 12.454]], "species": ["Er", "Tm", "Tm", "In", "In", "In"], "fractional_positions": [[0.000, 0.000, 0.000], [0.000, 0.000, 0.334], [0.000, 0.000, 0.666], [0.500, 0.500, 0.168], [0.500, 0.500, 0.500], [0.500, 0.500, 0.832]]}

---

Record 2
{"formula": "Er3Tm6In", "functional": "PBE", "state": "relaxed", "space_group": "Cmc2_1 (36)", "energy_ev_per_atom": -4.30, "e_form_ev_per_atom": 0.021, "lattice": [[5.197, -9.445, 0.000], [5.197, 9.445, 0.000], [0.000, 0.000, 6.126]], "species": ["Er", "Er", "Er", "Er", "Er", "Er", "Tm", "Tm", "Tm", "Tm", "Tm", "Tm", "Tm", "Tm", "Tm", "Tm", "Tm", "Tm", "In", "In"], "fractional_positions": [[0.105, 0.895, 0.500], [0.213, 0.453, 0.164], [0.453, 0.213, 0.664], [0.547, 0.787, 0.164], [0.787, 0.547, 0.664], [0.895, 0.105, 0.000], [0.064, 0.461, 0.699], [0.127, 0.208, 0.529], [0.208, 0.127, 0.029], [0.213, 0.787, 0.927], [0.441, 0.559, 0.674], [0.461, 0.064, 0.199], [0.539, 0.936, 0.699], [0.559, 0.441, 0.174], [0.787, 0.213, 0.427], [0.792, 0.873, 0.529], [0.873, 0.792, 0.029], [0.936, 0.539, 0.199], [0.265, 0.735, 0.421], [0.735, 0.265, 0.921]]}

---

Record 3
{"formula": "Er7Tm2In3", "functional": "PBE", "state": "relaxed", "space_group": "Cmmm (65)", "energy_ev_per_atom": -4.19, "e_form_ev_per_atom": -0.102, "lattice": [[2.721, -17.591, 0.000], [2.721, 17.591, 0.000], [0.000, 0.000, 3.623]], "species": ["Er", "Er", "Er", "Er", "Er", "Er", "Er", "Tm", "Tm", "In", "In", "In"], "fractional_positions": [[0.000, 0.000, 0.000], [0.091, 0.909, 0.500], [0.273, 0.727, 0.000], [0.427, 0.573, 0.000], [0.573, 0.427, 0.000], [0.727, 0.273, 0.000], [0.909, 0.091, 0.500], [0.174, 0.826, 0.000], [0.826, 0.174, 0.000], [0.351, 0.649, 0.500], [0.500, 0.500, 0.500], [0.649, 0.351, 0.500]]}